Below is an optimized crystal structure of SrAsWO2, with properties calculated at the PBE with a Hubbard U level.

Lattice parameters (Å, degrees): 4.319 8.596 4.319 90.00 90.00 90.00
Atoms (fractional coordinates):
Sr  0.000  0.000  0.000
As  0.500  0.500  0.500
O  0.000  0.000  0.500
O  0.500  0.000  0.000
W  0.000  0.500  0.000

For the total moment, the calculation gives 4.93 μB/f.u. For the total energy, the calculation gives -4.312 eV/atom. Its symmetry is P4/mmm (123).